The following is a DFT calculation (GGA-PBE) of a relaxed structure of Ti6C2SN3.

Lattice parameters (Å, degrees): 3.1078 6.3265 6.9355 102.87 102.95 90.00
Positions (direct):
1 N 0.8336 0.1669 0.6672
2 N 0.5000 0.5000 0.0000
3 N 0.1664 0.8331 0.3328
4 Ti 0.3311 0.4221 0.6623
5 Ti 0.0011 0.2894 0.0022
6 Ti 0.3183 0.8922 0.6367
7 Ti 0.6689 0.5779 0.3377
8 Ti 0.6817 0.1078 0.3633
9 Ti 0.9989 0.7106 0.9978
10 S 0.5000 0.0000 0.0000
11 C 0.8323 0.6657 0.6646
12 C 0.1677 0.3343 0.3354

Calculated values
The crystal system is monoclinic. As for the formation energy without anion corrections: -1.29 eV per atom.

The following is a DFT calculation (GGA-PBE) of a relaxed structure of V3Si5B12.

Lattice parameters (Å, degrees): 10.6192 10.6192 10.6192 109.47 109.47 109.47
Positions (direct):
1 Si 0.0000 0.5000 0.0000
2 Si 0.6250 0.8750 0.2500
3 Si 0.0000 0.0000 0.0000
4 Si 0.5000 0.5000 0.0000
5 Si 0.5000 0.0000 0.0000
6 Si 0.5000 0.5000 0.5000
7 Si 0.7500 0.1250 0.8750
8 Si 0.1250 0.7500 0.3750
9 Si 0.8750 0.6250 0.7500
10 Si 0.0000 0.0000 0.5000
11 Si 0.8750 0.2500 0.6250
12 Si 0.0000 0.5000 0.5000
13 Si 0.6250 0.7500 0.8750
14 Si 0.2500 0.3750 0.6250
15 Si 0.3750 0.1250 0.7500
16 Si 0.1250 0.3750 0.2500
17 Si 0.7500 0.6250 0.3750
18 Si 0.2500 0.8750 0.1250
19 Si 0.5000 0.0000 0.5000
20 Si 0.3750 0.2500 0.1250
21 B 0.6668 0.5858 0.9094
22 B 0.3237 0.7427 0.4094
23 B 0.4094 0.1668 0.5858
24 B 0.0810 0.6668 0.7573
25 B 0.9190 0.5858 0.1763
26 B 0.4190 0.6763 0.0858
27 B 0.5906 0.7573 0.6763
28 B 0.7573 0.1668 0.0810
29 B 0.2427 0.4094 0.8237
30 B 0.5810 0.3237 0.9142
31 B 0.9142 0.0906 0.8332
32 B 0.8332 0.5906 0.9142
33 B 0.1763 0.0906 0.7573
34 B 0.5906 0.8332 0.4142
35 B 0.5810 0.2573 0.1668
36 B 0.0858 0.1763 0.4190
37 B 0.9190 0.3332 0.2427
38 B 0.4142 0.0810 0.3237
39 B 0.9094 0.8237 0.7427
40 B 0.5858 0.9190 0.6763
41 B 0.6668 0.0810 0.2573
42 B 0.7427 0.4190 0.3332
43 B 0.5858 0.6668 0.4094
44 B 0.1668 0.4094 0.0858
45 B 0.1668 0.7573 0.5810
46 B 0.8237 0.9094 0.2427
47 B 0.8237 0.9142 0.0810
48 B 0.0906 0.9142 0.3332
49 B 0.9142 0.8237 0.5810
50 B 0.4142 0.3332 0.5906
51 B 0.0810 0.4142 0.8237
52 B 0.9094 0.0858 0.6668
53 B 0.7573 0.5906 0.1763
54 B 0.3332 0.4142 0.0906
55 B 0.2573 0.5810 0.6668
56 B 0.1763 0.0858 0.9190
57 B 0.8332 0.2427 0.4190
58 B 0.3237 0.5810 0.4142
59 B 0.4094 0.2427 0.3237
60 B 0.0858 0.9094 0.1668
61 B 0.0906 0.1763 0.2573
62 B 0.3332 0.9190 0.7427
63 B 0.6763 0.4190 0.5858
64 B 0.7427 0.3237 0.9094
65 B 0.6763 0.2573 0.5906
66 B 0.2427 0.8332 0.9190
67 B 0.2573 0.6763 0.0906
68 B 0.4190 0.7427 0.8332
69 V 0.2500 0.1250 0.3750
70 V 0.6250 0.3750 0.7500
71 V 0.7500 0.8750 0.6250
72 V 0.8750 0.7500 0.1250
73 V 0.7500 0.3750 0.1250
74 V 0.2500 0.6250 0.8750
75 V 0.3750 0.7500 0.6250
76 V 0.1250 0.2500 0.8750
77 V 0.8750 0.1250 0.2500
78 V 0.3750 0.6250 0.2500
79 V 0.1250 0.8750 0.7500
80 V 0.6250 0.2500 0.3750

Calculated values
The crystal system is cubic. As for the formation energy without anion corrections: 0.69 eV per atom.

The following is a DFT calculation (GGA-PBE) of a relaxed structure of Mg2ScW.

Lattice parameters (Å, degrees): 4.0092 4.0092 10.8786 79.38 79.38 90.00
Last column: magnetic moment on the atom in μB.
Positions (direct):
1 W 0.7500 0.2500 0.5000  0.21
2 W 0.0000 0.0000 0.0000  0.22
3 Sc 0.2500 0.7500 0.5000  0.01
4 Sc 0.5000 0.5000 0.0000  0.02
5 Mg 0.8750 0.8933 0.7500  0.00
6 Mg 0.3750 0.3567 0.7500  0.00
7 Mg 0.1067 0.6250 0.2500  0.00
8 Mg 0.6433 0.1250 0.2500  0.00

Calculated values
As for the polymorph energy (0 for the lowest one): 0.623 eV per atom. The energy of formation comes out at 0.81 eV per atom. The crystal system is tetragonal.

The following is a DFT calculation (GGA-PBE) of a relaxed structure of HfRuIN2.

Lattice parameters (Å, degrees): 4.1018 4.1018 6.0045 90.00 90.00 90.00
Last column: magnetic moment on the atom in μB.
Positions (direct):
1 N 0.0000 0.5000 0.0000  0.03
2 N 0.5000 0.0000 0.0000  0.03
3 I 0.0000 0.0000 0.5000  0.05
4 Hf 0.0000 0.0000 0.0000  0.01
5 Ru 0.5000 0.5000 0.5000  2.20

Calculated values
As for the polymorph energy (0 for the lowest one): 0.000 eV per atom. The crystal system is tetragonal. As for the formation energy without anion corrections: 0.92 eV per atom.

The following is a DFT calculation (GGA-PBE) of a relaxed structure of CeErCdOs.

Lattice parameters (Å, degrees): 5.0430 5.0430 5.0430 60.00 60.00 60.00
Last column: magnetic moment on the atom in μB.
Positions (direct):
1 Os 0.2500 0.2500 0.2500  -0.02
2 Er 0.0000 0.0000 0.0000  0.00
3 Ce 0.5000 0.5000 0.5000  0.12
4 Cd 0.7500 0.7500 0.7500  0.00

Calculated values
As for the polymorph energy (0 for the lowest one): 0.143 eV per atom. The energy of formation comes out at -0.15 eV per atom. The crystal system is cubic.

The following is a DFT calculation (GGA-PBE) of a relaxed structure of K2NaHf.

Lattice parameters (Å, degrees): 9.8451 9.8451 7.8433 51.13 51.13 90.00
Last column: magnetic moment on the atom in μB.
Positions (direct):
1 K 0.8750 0.8550 0.7500  0.03
2 K 0.1450 0.6250 0.2500  0.03
3 K 0.6050 0.1250 0.2500  0.03
4 K 0.3750 0.3950 0.7500  0.03
5 Hf 0.7500 0.2500 0.5000  1.28
6 Hf 0.0000 0.0000 0.0000  1.28
7 Na 0.5000 0.5000 0.0000  0.01
8 Na 0.2500 0.7500 0.5000  0.01

Calculated values
As for the polymorph energy (0 for the lowest one): 0.071 eV per atom. The energy of formation comes out at 1.18 eV per atom. The crystal system is tetragonal.

The following is a DFT calculation (GGA-PBE) of a relaxed structure of Mn2Cu7Pt2.

Lattice parameters (Å, degrees): 7.7634 5.1248 5.1248 98.72 114.85 114.85
Last column: magnetic moment on the atom in μB.
Positions (direct):
1 Cu 0.3247 0.7310 0.2845  0.05
2 Cu 0.5000 0.0000 0.0000  0.01
3 Cu 0.6753 0.7155 0.2690  0.05
4 Cu 0.9587 0.2819 0.2819  0.09
5 Cu 0.3247 0.2845 0.7310  0.05
6 Cu 0.6753 0.2690 0.7155  0.05
7 Cu 0.0413 0.7181 0.7181  0.09
8 Mn 0.0000 0.7882 0.2118  3.64
9 Mn 0.0000 0.2118 0.7882  3.64
10 Pt 0.3345 0.2335 0.2335  0.17
11 Pt 0.6655 0.7665 0.7665  0.17

Calculated values
The energy of formation comes out at 0.03 eV per atom. The crystal system is monoclinic.

The following is a DFT calculation (GGA-PBE) of a relaxed structure of LaErCo.

Lattice parameters (Å, degrees): 5.5230 5.2349 5.5159 86.92 98.80 86.85
Positions (direct):
1 Er 0.7074 0.0036 0.7961
2 Er 0.2971 0.0041 0.2071
3 Co 0.8330 0.9570 0.3323
4 Co 0.1714 0.0507 0.6710
5 La 0.7775 0.4650 0.2770
6 La 0.2270 0.5427 0.7262

Calculated values
As for the polymorph energy (0 for the lowest one): 0.000 eV per atom. The energy of formation comes out at -0.14 eV per atom. The crystal system is monoclinic.

Energy, respectively: -9.198 -6.036 -4.807 -6.568 -5.807 -2.182 -5.342 -5.676 eV/atom.